# PrYAs2O8 (PBE, relaxed)
data_PrYAs2O8
_cell_length_a 5.128
_cell_length_b 5.128
_cell_length_c 11.612
_cell_angle_alpha 90.00
_cell_angle_beta 90.00
_cell_angle_gamma 90.00
_symmetry_space_group_name_H-M 'I -4'
_symmetry_Int_Tables_number 82
_symmetry_space_group_name_Hall 'I -4'
loop_
_atom_site_label
_atom_site_type_symbol
_atom_site_fract_x
_atom_site_fract_y
_atom_site_fract_z
_atom_site_occupancy
Pr1 Pr 0.000 0.000 0.000 1
Y1 Y 0.000 0.500 0.750 1
As1 As 0.000 0.000 0.500 1
As2 As 0.000 0.500 0.250 1
O1 O 0.136 0.250 0.580 1
O2 O 0.149 0.749 0.174 1
# - Formation energy from raw total energies: -2.316 eV/atom
# - ρ: 5.52 Mg/m³

# PrZnAs2O8 (PBE, relaxed)
data_PrZnAs2O8
_cell_length_a 7.239
_cell_length_b 7.239
_cell_length_c 6.398
_cell_angle_alpha 90.00
_cell_angle_beta 90.00
_cell_angle_gamma 90.00
_symmetry_space_group_name_H-M 'I -4 m 2'
_symmetry_Int_Tables_number 119
_symmetry_space_group_name_Hall 'I -4 -2'
loop_
_atom_site_label
_atom_site_type_symbol
_atom_site_fract_x
_atom_site_fract_y
_atom_site_fract_z
_atom_site_occupancy
Pr1 Pr 0.000 0.000 0.000 1
Zn1 Zn 0.000 0.500 0.250 1
As1 As 0.000 0.000 0.500 1
As2 As 0.000 0.500 0.750 1
O1 O 0.000 0.186 0.330 1
O2 O 0.000 0.324 0.929 1
# - Formation energy from raw total energies: -1.549 eV/atom
# - ρ: 4.80 Mg/m³

# PrZn2AsO2 (PBE, relaxed)
data_PrZn2AsO2
_cell_length_a 3.606
_cell_length_b 3.606
_cell_length_c 12.482
_cell_angle_alpha 90.00
_cell_angle_beta 90.00
_cell_angle_gamma 90.00
_symmetry_space_group_name_H-M 'P 4/m m m'
_symmetry_Int_Tables_number 123
_symmetry_space_group_name_Hall '-P 4 2'
loop_
_atom_site_label
_atom_site_type_symbol
_atom_site_fract_x
_atom_site_fract_y
_atom_site_fract_z
_atom_site_occupancy
Pr1 Pr 0.000 0.000 0.000 1
Zn1 Zn 0.000 0.000 0.316 1
As1 As 0.000 0.000 0.500 1
O1 O 0.000 0.000 0.175 1
# - Formation energy from raw total energies: -0.506 eV/atom
# - ρ: 3.87 Mg/m³

# As3PtO (PBE, relaxed)
data_As3PtO
_cell_length_a 4.918
_cell_length_b 4.918
_cell_length_c 4.918
_cell_angle_alpha 90.00
_cell_angle_beta 90.00
_cell_angle_gamma 90.00
_symmetry_space_group_name_H-M 'P m -3 m'
_symmetry_Int_Tables_number 221
_symmetry_space_group_name_Hall '-P 4 2 3'
loop_
_atom_site_label
_atom_site_type_symbol
_atom_site_fract_x
_atom_site_fract_y
_atom_site_fract_z
_atom_site_occupancy
As1 As 0.000 0.000 0.500 1
Pt1 Pt 0.000 0.000 0.000 1
O1 O 0.500 0.500 0.500 1
# - Formation energy from raw total energies: 1.037 eV/atom
# - ρ: 6.08 Mg/m³
# - ΔE to the lowest computed polymorph: 0.778 eV per atom

# AsPtO4 (PBE, relaxed)
data_AsPtO4
_cell_length_a 5.175
_cell_length_b 4.573
_cell_length_c 5.617
_cell_angle_alpha 90.00
_cell_angle_beta 90.00
_cell_angle_gamma 90.00
_symmetry_space_group_name_H-M 'P n c 2'
_symmetry_Int_Tables_number 30
_symmetry_space_group_name_Hall 'P 2 -2bc'
loop_
_atom_site_label
_atom_site_type_symbol
_atom_site_fract_x
_atom_site_fract_y
_atom_site_fract_z
_atom_site_occupancy
As1 As 0.000 0.000 0.000 1
Pt1 Pt 0.500 0.000 0.705 1
O1 O 0.163 0.233 0.739 1
O2 O 0.315 0.738 0.457 1
# - Formation energy from raw total energies: -0.694 eV/atom
# - ρ: 8.35 Mg/m³

# AsPt3O (PBE, relaxed)
data_AsPt3O
_cell_length_a 4.642
_cell_length_b 4.642
_cell_length_c 4.642
_cell_angle_alpha 90.00
_cell_angle_beta 90.00
_cell_angle_gamma 90.00
_symmetry_space_group_name_H-M 'P m -3 m'
_symmetry_Int_Tables_number 221
_symmetry_space_group_name_Hall '-P 4 2 3'
loop_
_atom_site_label
_atom_site_type_symbol
_atom_site_fract_x
_atom_site_fract_y
_atom_site_fract_z
_atom_site_occupancy
As1 As 0.000 0.000 0.000 1
Pt1 Pt 0.000 0.000 0.500 1
O1 O 0.500 0.500 0.500 1
# - Formation energy from raw total energies: 1.133 eV/atom
# - ρ: 11.23 Mg/m³
# - ΔE to the lowest computed polymorph: 0.565 eV per atom

- What is the formula in the second record?
  PrZnAs2O8